1.
Here is an optimized crystal structure of Ce2ErSb3 from the Alexandria database. Energies are from PBE.

POSCAR file:
```
Ce2ErSb3
1.0
-2.2254 3.1520 6.6724
2.2254 -3.1520 6.6724
2.2254 3.1520 -6.6724
Ce Er Sb
2 1 3
direct
0.1681 0.1681 0.0000
0.8319 0.8319 0.0000
0.5000 0.5000 0.0000
0.0000 0.5000 0.5000
0.3378 0.8378 0.5000
0.6622 0.1622 0.5000
```

Calculated values
crystal system: orthorhombic
M_tot: 0.27 μB per atom
symmetry: Immm
uncorrected formation energy: -1.053 eV per atom
final energy: -5.85 eV per atom

2.
Here is an optimized crystal structure of Ce2ErSb3 from the Alexandria database. Energies are from PBE.

POSCAR file:
```
Ce2ErSb3
1.0
3.8527 -6.6786 0.0000
3.8527 6.6786 0.0000
-2.5769 0.0000 7.2705
Ce Er Sb
4 2 6
direct
0.0000 0.0000 0.0000
0.1645 0.8355 0.5000
0.5000 0.5000 0.5000
0.8355 0.1645 0.5000
0.3325 0.6675 0.0000
0.6675 0.3325 0.0000
0.0819 0.4196 0.2449
0.2576 0.2576 0.7581
0.4196 0.0819 0.2449
0.5804 0.9181 0.7551
0.7424 0.7424 0.2419
0.9181 0.5804 0.7551
```

Calculated values
crystal system: monoclinic
M_tot: 0.27 μB per atom
symmetry: C2/m
uncorrected formation energy: -1.056 eV per atom
final energy: -5.86 eV per atom

3.
Here is an optimized crystal structure of CeEr2Sb3 from the Alexandria database. Energies are from PBE.

POSCAR file:
```
CeEr2Sb3
1.0
3.8139 -6.6069 0.0000
3.8139 6.6069 0.0000
-2.5441 0.0000 7.1840
Ce Er Sb
2 4 6
direct
0.1660 0.8340 0.0000
0.8340 0.1660 0.0000
0.0000 0.0000 0.5000
0.3313 0.6687 0.5000
0.5000 0.5000 0.0000
0.6687 0.3313 0.5000
0.0862 0.4154 0.7452
0.2571 0.2571 0.2574
0.4154 0.0862 0.7452
0.5846 0.9138 0.2548
0.7429 0.7429 0.7426
0.9138 0.5846 0.2548
```

Calculated values
crystal system: monoclinic
M_tot: 0.13 μB per atom
symmetry: C2/m
uncorrected formation energy: -1.076 eV per atom
final energy: -5.65 eV per atom

4.
Here is an optimized crystal structure of Ce3ErSb3 from the Alexandria database. Energies are from PBE.

POSCAR file:
```
Ce3ErSb3
1.0
4.5670 2.6368 6.2553
-4.5670 2.6368 6.2553
0.0000 -5.2735 6.2553
Ce Er Sb
6 2 6
direct
0.0911 0.3366 0.8320
0.1680 0.9089 0.6634
0.3366 0.8320 0.0911
0.6634 0.1680 0.9089
0.8320 0.0911 0.3366
0.9089 0.6634 0.1680
0.3311 0.3311 0.3311
0.6689 0.6689 0.6689
0.0764 0.6862 0.4734
0.3138 0.5266 0.9236
0.4734 0.0764 0.6862
0.5266 0.9236 0.3138
0.6862 0.4734 0.0764
0.9236 0.3138 0.5266
```

Calculated values
crystal system: trigonal
M_tot: 0.58 μB per atom
symmetry: R-3
uncorrected formation energy: -0.769 eV per atom
final energy: -5.73 eV per atom

5.
Here is an optimized crystal structure of CeEr3Sb2 from the Alexandria database. Energies are from PBE.

POSCAR file:
```
CeEr3Sb2
1.0
8.2293 -2.1055 0.0000
8.2293 2.1055 0.0000
-4.0587 0.0000 10.4808
Ce Er Sb
2 6 4
direct
0.1155 0.1155 0.0323
0.8845 0.8845 0.9677
0.0599 0.0599 0.4026
0.2818 0.2818 0.6280
0.3805 0.3805 0.3207
0.6195 0.6195 0.6793
0.7182 0.7182 0.3720
0.9401 0.9401 0.5974
0.2322 0.2322 0.8589
0.4805 0.4805 0.8208
0.5195 0.5195 0.1792
0.7678 0.7678 0.1411
```

Calculated values
crystal system: monoclinic
M_tot: 0.21 μB per atom
symmetry: C2/m
uncorrected formation energy: -0.614 eV per atom
final energy: -5.26 eV per atom

6.
Here is an optimized crystal structure of CeEr4Sb2 from the Alexandria database. Energies are from PBE.

POSCAR file:
```
CeEr4Sb2
1.0
7.7650 0.0000 0.0000
0.0000 6.4355 0.0000
-3.5115 0.0000 8.0824
Ce Er Sb
2 8 4
direct
0.1049 0.2500 0.3638
0.8951 0.7500 0.6362
0.1828 0.7500 0.0798
0.3368 0.0062 0.7939
0.3368 0.4938 0.7939
0.4641 0.7500 0.5162
0.5359 0.2500 0.4838
0.6632 0.5062 0.2061
0.6632 0.9938 0.2061
0.8172 0.2500 0.9202
0.0475 0.7500 0.3629
0.2740 0.2500 0.0894
0.7260 0.7500 0.9106
0.9525 0.2500 0.6371
```

Calculated values
crystal system: monoclinic
M_tot: 0.12 μB per atom
symmetry: P2_1/m
uncorrected formation energy: -0.499 eV per atom
final energy: -5.13 eV per atom